! PBEsol Te2PbO, optimized geometry; values from VASP
! SG = Fm-3m
! uncorrected energy = -3.66 eV/atom
! M_tot = 0.00 μB/f.u.
! crystal system = cubic
! density of states at the Fermi level = 3.5 states/eV per cell
! formation energy without anion corrections = 0.414 eV per atom
&SYSTEM
  ibrav = 0, nat = 4, ntyp = 3
/
ATOMIC_SPECIES
Te 127.60 Te.upf
Pb 207.20 Pb.upf
O 16.00 O.upf
ATOMIC_POSITIONS angstrom
Te 1.773 1.773 1.773
Te 5.319 5.319 5.319
Pb 0.000 0.000 0.000
O 3.546 3.546 3.546
CELL_PARAMETERS angstrom
0.000 3.546 3.546
3.546 0.000 3.546
3.546 3.546 0.000

=====

! PBEsol TePbO3, optimized geometry; values from VASP
! SG = P4_1
! uncorrected energy = -5.77 eV/atom
! M_tot = 0.00 μB/f.u.
! crystal system = tetragonal
! density of states at the Fermi level = 0.0 states/eV per cell
! formation energy without anion corrections = -1.117 eV per atom
&SYSTEM
  ibrav = 0, nat = 20, ntyp = 3
/
ATOMIC_SPECIES
Te 127.60 Te.upf
Pb 207.20 Pb.upf
O 16.00 O.upf
ATOMIC_POSITIONS angstrom
Te 1.289 3.997 0.000
Te 1.305 1.289 2.952
Te 3.997 4.012 8.855
Te 4.012 1.305 5.903
Pb 1.322 3.962 6.100
Pb 1.339 1.322 9.052
Pb 3.962 3.979 3.149
Pb 3.979 1.339 0.197
O 0.145 3.259 1.318
O 0.530 2.532 4.167
O 2.043 0.145 4.270
O 2.048 2.309 11.345
O 2.309 3.253 8.393
O 2.532 4.772 1.215
O 2.769 0.530 7.118
O 2.992 2.048 2.490
O 3.253 2.992 5.442
O 3.259 5.156 10.173
O 4.772 2.769 10.070
O 5.156 2.043 7.221
CELL_PARAMETERS angstrom
5.301 0.000 0.000
0.000 5.301 0.000
0.000 0.000 11.806

=====

! PBEsol Te2PbO, optimized geometry; values from VASP
! SG = I-42d
! uncorrected energy = -4.15 eV/atom
! M_tot = 0.00 μB/f.u.
! crystal system = tetragonal
! density of states at the Fermi level = 4.0 states/eV per cell
! formation energy without anion corrections = -0.074 eV per atom
&SYSTEM
  ibrav = 0, nat = 8, ntyp = 3
/
ATOMIC_SPECIES
Te 127.60 Te.upf
Pb 207.20 Pb.upf
O 16.00 O.upf
ATOMIC_POSITIONS angstrom
Te 0.564 1.498 1.601
Te -1.498 2.432 4.802
Te -0.564 4.494 1.601
Te 1.498 3.560 4.802
Pb 2.996 0.000 3.201
Pb 0.000 0.000 6.402
O 0.000 0.000 0.000
O 0.000 2.996 3.201
CELL_PARAMETERS angstrom
-2.996 2.996 6.402
2.996 -2.996 6.402
2.996 2.996 -6.402

=====

! PBEsol UTe2PbO8, optimized geometry; values from VASP
! SG = P2_1/c
! uncorrected energy = -7.21 eV/atom
! M_tot = 0.00 μB/f.u.
! crystal system = monoclinic
! density of states at the Fermi level = 0.0 states/eV per cell
! formation energy without anion corrections = -1.778 eV per atom
&SYSTEM
  ibrav = 0, nat = 48, ntyp = 4
/
ATOMIC_SPECIES
U 238.03 U.upf
Te 127.60 Te.upf
Pb 207.20 Pb.upf
O 16.00 O.upf
ATOMIC_POSITIONS angstrom
U 0.043 1.051 4.227
U -0.540 2.403 11.120
U 7.055 4.504 2.665
U 6.472 5.856 9.558
Te 0.993 4.590 5.898
Te 0.410 5.771 12.791
Te 2.103 1.216 7.546
Te 2.686 2.238 0.654
Te 3.829 4.669 13.132
Te 4.412 5.691 6.239
Te 6.105 1.136 0.994
Te 5.521 2.317 7.887
Pb 2.536 4.404 9.364
Pb 3.120 5.956 2.471
Pb 3.395 0.951 11.314
Pb 3.978 2.503 4.421
O -0.470 4.629 11.295
O 0.114 5.732 4.402
O -0.371 0.238 11.672
O 0.212 3.215 4.779
O 1.151 4.510 2.042
O 0.568 5.851 8.935
O 0.822 0.698 6.212
O 0.239 2.755 13.105
O 1.813 1.083 3.537
O 1.230 2.370 10.430
O 2.212 0.345 0.410
O 1.629 3.109 7.302
O 2.633 4.611 4.947
O 2.050 5.750 11.840
O 3.515 4.616 0.560
O 2.932 5.744 7.453
O 3.583 1.163 6.333
O 2.999 2.291 13.225
O 4.465 1.157 1.945
O 3.881 2.297 8.838
O 4.886 3.799 6.483
O 4.302 6.562 13.376
O 5.285 4.537 3.355
O 4.702 5.824 10.248
O 6.276 4.152 0.680
O 5.693 6.209 7.573
O 5.947 1.056 4.850
O 5.363 2.397 11.743
O 6.303 3.692 9.006
O 6.886 6.669 2.113
O 6.401 1.175 9.383
O 6.984 2.278 2.491
CELL_PARAMETERS angstrom
7.681 0.000 0.000
0.000 6.907 0.000
-1.167 0.000 13.785

=====

! PBEsol ThV2PbO8, optimized geometry; values from VASP
! SG = I-4m2
! uncorrected energy = -8.72 eV/atom
! M_tot = 0.00 μB/f.u.
! crystal system = tetragonal
! density of states at the Fermi level = 0.0 states/eV per cell
! formation energy without anion corrections = -2.604 eV per atom
&SYSTEM
  ibrav = 0, nat = 12, ntyp = 4
/
ATOMIC_SPECIES
Th 232.04 Th.upf
V 50.94 V.upf
Pb 207.20 Pb.upf
O 16.00 O.upf
ATOMIC_POSITIONS angstrom
Th 0.000 0.000 0.000
V 0.000 0.000 3.241
V 0.000 3.709 1.620
Pb 3.709 0.000 1.620
O 2.437 3.709 -1.151
O 1.272 0.000 2.090
O 0.000 2.329 0.591
O 3.709 2.437 1.151
O 0.000 5.089 0.591
O 0.000 1.272 4.391
O -1.380 3.709 2.649
O 1.380 3.709 2.649
CELL_PARAMETERS angstrom
-3.709 3.709 3.241
3.709 -3.709 3.241
3.709 3.709 -3.241

=====

! PBEsol TiPbO3, optimized geometry; values from VASP
! SG = R-3
! uncorrected energy = -7.91 eV/atom
! M_tot = 0.00 μB/f.u.
! crystal system = trigonal
! density of states at the Fermi level = 0.0 states/eV per cell
! formation energy without anion corrections = -2.293 eV per atom
&SYSTEM
  ibrav = 0, nat = 10, ntyp = 3
/
ATOMIC_SPECIES
Ti 47.87 Ti.upf
Pb 207.20 Pb.upf
O 16.00 O.upf
ATOMIC_POSITIONS angstrom
Ti 0.000 0.000 3.275
Ti 0.000 0.000 16.457
Pb 0.000 0.000 7.646
Pb 0.000 0.000 12.085
O -1.928 -0.003 8.788
O -0.962 -1.671 10.943
O 0.966 -1.668 8.788
O -0.966 1.668 10.943
O 0.962 1.671 8.788
O 1.928 0.003 10.943
CELL_PARAMETERS angstrom
2.589 1.495 6.577
-2.589 1.495 6.577
0.000 -2.990 6.577

=====

! PBEsol TiPbO3, optimized geometry; values from VASP
! SG = P4mm
! uncorrected energy = -7.94 eV/atom
! M_tot = 0.00 μB/f.u.
! crystal system = tetragonal
! density of states at the Fermi level = 0.0 states/eV per cell
! formation energy without anion corrections = -2.330 eV per atom
&SYSTEM
  ibrav = 0, nat = 5, ntyp = 3
/
ATOMIC_SPECIES
Ti 47.87 Ti.upf
Pb 207.20 Pb.upf
O 16.00 O.upf
ATOMIC_POSITIONS angstrom
Ti 0.000 0.000 0.000
Pb 1.939 1.939 1.933
O 0.000 0.000 2.406
O 0.000 1.939 0.341
O 1.939 0.000 0.341
CELL_PARAMETERS angstrom
3.878 0.000 0.000
0.000 3.878 0.000
0.000 0.000 4.185

=====

! PBEsol TiPbO3, optimized geometry; values from VASP
! SG = Pm-3m
! uncorrected energy = -7.93 eV/atom
! M_tot = 0.00 μB/f.u.
! crystal system = cubic
! density of states at the Fermi level = 0.0 states/eV per cell
! formation energy without anion corrections = -2.314 eV per atom
&SYSTEM
  ibrav = 0, nat = 5, ntyp = 3
/
ATOMIC_SPECIES
Ti 47.87 Ti.upf
Pb 207.20 Pb.upf
O 16.00 O.upf
ATOMIC_POSITIONS angstrom
Ti 0.000 0.000 0.000
Pb 1.962 1.962 1.962
O 0.000 0.000 1.962
O 0.000 1.962 0.000
O 1.962 0.000 0.000
CELL_PARAMETERS angstrom
3.923 0.000 0.000
0.000 3.923 0.000
0.000 0.000 3.923

=====

! PBEsol TiPb3O, optimized geometry; values from VASP
! SG = Pm-3m
! uncorrected energy = -5.10 eV/atom
! M_tot = 0.39 μB/f.u.
! crystal system = cubic
! density of states at the Fermi level = 3.8 states/eV per cell
! formation energy without anion corrections = 0.014 eV per atom
&SYSTEM
  ibrav = 0, nat = 5, ntyp = 3
/
ATOMIC_SPECIES
Ti 47.87 Ti.upf
Pb 207.20 Pb.upf
O 16.00 O.upf
ATOMIC_POSITIONS angstrom
Ti 0.000 0.000 0.000
Pb 0.000 2.407 2.407
Pb 2.407 0.000 2.407
Pb 2.407 2.407 0.000
O 2.407 2.407 2.407
CELL_PARAMETERS angstrom
4.814 0.000 0.000
0.000 4.814 0.000
0.000 0.000 4.814

=====

! PBEsol ZrTi2Pb3O9, optimized geometry; values from VASP
! SG = Pmm2
! uncorrected energy = -8.04 eV/atom
! M_tot = 0.00 μB/f.u.
! crystal system = orthorhombic
! density of states at the Fermi level = 0.0 states/eV per cell
! formation energy without anion corrections = -2.377 eV per atom
&SYSTEM
  ibrav = 0, nat = 15, ntyp = 4
/
ATOMIC_SPECIES
Zr 91.22 Zr.upf
Ti 47.87 Ti.upf
Pb 207.20 Pb.upf
O 16.00 O.upf
ATOMIC_POSITIONS angstrom
Zr 0.000 0.000 0.000
Ti 0.000 3.982 0.047
Ti 0.000 7.809 0.047
Pb 1.982 2.066 2.375
Pb 1.982 5.896 2.380
Pb 1.982 9.726 2.375
O 0.000 0.000 1.966
O 0.000 2.084 3.931
O 0.000 3.975 1.815
O 0.000 5.896 3.913
O 0.000 7.816 1.815
O 0.000 9.707 3.931
O 1.982 0.000 3.862
O 1.982 3.979 3.956
O 1.982 7.812 3.956
CELL_PARAMETERS angstrom
3.964 0.000 0.000
0.000 11.791 0.000
0.000 0.000 4.271

=====

! PBEsol Zr3TiPb4O12, optimized geometry; values from VASP
! SG = P1
! uncorrected energy = -8.18 eV/atom
! M_tot = 0.00 μB/f.u.
! crystal system = triclinic
! density of states at the Fermi level = 0.0 states/eV per cell
! formation energy without anion corrections = -2.455 eV per atom
&SYSTEM
  ibrav = 0, nat = 20, ntyp = 4
/
ATOMIC_SPECIES
Zr 91.22 Zr.upf
Ti 47.87 Ti.upf
Pb 207.20 Pb.upf
O 16.00 O.upf
ATOMIC_POSITIONS angstrom
Zr 0.000 0.000 0.000
Zr 2.876 5.040 7.046
Zr 5.775 3.378 2.381
Ti 2.887 1.720 4.696
Pb 2.914 5.290 3.550
Pb 2.865 1.914 1.154
Pb 5.759 6.920 8.077
Pb 5.776 3.642 5.775
O 2.604 6.506 8.410
O 1.346 2.384 3.812
O 1.358 3.877 8.012
O 4.455 3.922 0.955
O 4.499 5.775 6.044
O 3.091 3.148 5.916
O 5.542 4.956 3.652
O 4.131 4.030 8.450
O 4.217 2.277 3.443
O 7.213 5.654 5.706
O 7.465 4.061 1.481
O 6.063 1.520 1.335
CELL_PARAMETERS angstrom
5.769 0.000 0.000
2.884 5.035 0.000
0.007 3.337 9.443

=====

! PBEsol ZrTiPb2O6, optimized geometry; values from VASP
! SG = R3m
! uncorrected energy = -8.10 eV/atom
! M_tot = 0.00 μB/f.u.
! crystal system = trigonal
! density of states at the Fermi level = 0.0 states/eV per cell
! formation energy without anion corrections = -2.407 eV per atom
&SYSTEM
  ibrav = 0, nat = 10, ntyp = 4
/
ATOMIC_SPECIES
Zr 91.22 Zr.upf
Ti 47.87 Ti.upf
Pb 207.20 Pb.upf
O 16.00 O.upf
ATOMIC_POSITIONS angstrom
Zr 0.000 0.000 0.000
Ti 0.000 0.000 7.084
Pb 0.000 0.000 3.304
Pb 0.000 0.000 10.358
O 0.000 -1.652 6.160
O -1.431 0.826 6.160
O -1.340 -0.773 8.448
O 1.340 -0.773 8.448
O 0.000 1.547 8.448
O 1.431 0.826 6.160
CELL_PARAMETERS angstrom
2.854 1.648 4.723
-2.854 1.648 4.723
0.000 -3.295 4.723

=====

! PBEsol ZrTiPb2O6, optimized geometry; values from VASP
! SG = P4mm
! uncorrected energy = -8.10 eV/atom
! M_tot = 0.00 μB/f.u.
! crystal system = tetragonal
! density of states at the Fermi level = 0.0 states/eV per cell
! formation energy without anion corrections = -2.413 eV per atom
&SYSTEM
  ibrav = 0, nat = 10, ntyp = 4
/
ATOMIC_SPECIES
Zr 91.22 Zr.upf
Ti 47.87 Ti.upf
Pb 207.20 Pb.upf
O 16.00 O.upf
ATOMIC_POSITIONS angstrom
Zr 0.000 0.000 0.000
Ti 2.818 2.818 4.208
Pb 0.000 2.818 1.876
Pb 2.818 0.000 1.876
O 0.000 0.000 2.278
O 1.456 1.456 0.331
O 1.456 4.180 0.331
O 2.818 2.818 2.446
O 4.180 1.456 0.331
O 4.180 4.180 0.331
CELL_PARAMETERS angstrom
5.636 0.000 0.000
0.000 5.636 0.000
0.000 0.000 4.263

=====

! PBEsol Zr3Ti2Pb5O15, optimized geometry; values from VASP
! SG = R3m
! uncorrected energy = -8.13 eV/atom
! M_tot = 0.00 μB/f.u.
! crystal system = trigonal
! density of states at the Fermi level = 0.0 states/eV per cell
! formation energy without anion corrections = -2.420 eV per atom
&SYSTEM
  ibrav = 0, nat = 25, ntyp = 4
/
ATOMIC_SPECIES
Zr 91.22 Zr.upf
Ti 47.87 Ti.upf
Pb 207.20 Pb.upf
O 16.00 O.upf
ATOMIC_POSITIONS angstrom
Zr 0.000 0.000 0.000
Zr 0.000 0.000 6.974
Zr 0.000 0.000 21.378
Ti 0.000 0.000 14.231
Ti 0.000 0.000 28.418
Pb 0.000 0.000 3.333
Pb 0.000 0.000 10.305
Pb 0.000 0.000 17.432
Pb 0.000 0.000 24.746
Pb 0.000 0.000 31.655
O -1.411 -0.814 15.616
O 0.000 -1.653 13.351
O -1.432 0.826 13.351
O -1.370 -0.791 22.834
O 0.000 -1.739 20.354
O -1.506 0.870 20.354
O -1.345 -0.776 29.803
O 1.411 -0.814 15.616
O 0.000 1.629 15.616
O 1.432 0.827 13.351
O 1.370 -0.791 22.834
O 0.000 1.582 22.834
O 1.506 0.870 20.354
O 1.345 -0.776 29.803
O 0.000 1.553 29.803
CELL_PARAMETERS angstrom
2.870 1.657 11.919
-2.870 1.657 11.919
0.000 -3.314 11.919

=====

! PBEsol ZrTiPb2O6, optimized geometry; values from VASP
! SG = P1
! uncorrected energy = -8.10 eV/atom
! M_tot = 0.00 μB/f.u.
! crystal system = triclinic
! density of states at the Fermi level = 0.0 states/eV per cell
! formation energy without anion corrections = -2.406 eV per atom
&SYSTEM
  ibrav = 0, nat = 10, ntyp = 4
/
ATOMIC_SPECIES
Zr 91.22 Zr.upf
Ti 47.87 Ti.upf
Pb 207.20 Pb.upf
O 16.00 O.upf
ATOMIC_POSITIONS angstrom
Zr 0.000 0.000 0.000
Ti 4.151 4.058 3.978
Pb 1.903 1.854 1.990
Pb 1.923 1.877 5.804
O 0.218 2.236 4.022
O 0.186 0.194 2.114
O 0.209 0.218 5.889
O 0.236 2.137 0.079
O 2.132 0.194 0.080
O 2.223 0.174 4.021
CELL_PARAMETERS angstrom
4.130 0.000 0.000
0.107 4.138 0.000
0.036 0.039 7.950

=====

! PBEsol Zr3TiPb4O12, optimized geometry; values from VASP
! SG = Pm
! uncorrected energy = -8.18 eV/atom
! M_tot = 0.00 μB/f.u.
! crystal system = monoclinic
! density of states at the Fermi level = 0.0 states/eV per cell
! formation energy without anion corrections = -2.455 eV per atom
&SYSTEM
  ibrav = 0, nat = 20, ntyp = 4
/
ATOMIC_SPECIES
Zr 91.22 Zr.upf
Ti 47.87 Ti.upf
Pb 207.20 Pb.upf
O 16.00 O.upf
ATOMIC_POSITIONS angstrom
Zr 0.000 0.000 0.000
Zr 4.125 2.938 2.876
Zr 4.125 8.601 2.876
Ti 3.987 5.770 5.783
Pb 1.836 3.024 0.179
Pb 1.836 8.515 0.179
Pb 1.808 5.770 3.125
Pb 1.814 0.000 3.148
O 0.127 1.392 4.166
O 0.181 4.376 1.262
O 0.181 7.163 1.262
O 0.127 10.147 4.166
O 0.190 1.558 1.288
O 0.190 9.981 1.288
O 0.153 4.424 4.297
O 0.153 7.115 4.297
O 2.122 3.015 2.691
O 2.122 8.524 2.691
O 2.080 0.000 5.547
O 2.191 5.770 5.647
CELL_PARAMETERS angstrom
4.186 0.000 0.000
0.000 11.539 0.000
-0.102 0.000 5.796

=====

! PBEsol Zr3Ti2Pb5O15, optimized geometry; values from VASP
! SG = Cm
! uncorrected energy = -8.13 eV/atom
! M_tot = 0.00 μB/f.u.
! crystal system = monoclinic
! density of states at the Fermi level = 0.0 states/eV per cell
! formation energy without anion corrections = -2.425 eV per atom
&SYSTEM
  ibrav = 0, nat = 25, ntyp = 4
/
ATOMIC_SPECIES
Zr 91.22 Zr.upf
Ti 47.87 Ti.upf
Pb 207.20 Pb.upf
O 16.00 O.upf
ATOMIC_POSITIONS angstrom
Zr 0.000 0.000 0.000
Zr 11.258 0.000 0.011
Zr 17.159 0.000 0.012
Ti 5.737 0.000 4.218
Ti 22.648 0.000 4.218
Pb 2.981 0.000 1.872
Pb 8.452 0.000 1.898
Pb 14.241 0.000 1.847
Pb 20.002 0.000 1.904
Pb 25.512 0.000 1.865
O 9.808 1.489 0.334
O 12.728 1.413 0.332
O 5.746 0.000 2.449
O 15.659 1.398 0.333
O 18.579 1.500 0.335
O 11.197 0.000 2.278
O 21.298 1.416 0.350
O 17.151 0.000 2.280
O 9.808 -1.489 0.334
O 12.728 -1.413 0.332
O 22.605 0.000 2.449
O 15.659 -1.398 0.333
O 18.579 -1.500 0.335
O 21.298 -1.416 0.350
O 28.376 0.000 2.273
CELL_PARAMETERS angstrom
14.210 -2.839 0.000
14.210 2.839 0.000
-0.020 0.000 4.249

=====

! PBEsol Tl2Pb2O7, optimized geometry; values from VASP
! SG = Fd-3m
! uncorrected energy = -5.26 eV/atom
! M_tot = 0.00 μB/f.u.
! crystal system = cubic
! density of states at the Fermi level = 5.0 states/eV per cell
! formation energy without anion corrections = -0.715 eV per atom
&SYSTEM
  ibrav = 0, nat = 22, ntyp = 3
/
ATOMIC_SPECIES
Tl 204.38 Tl.upf
Pb 207.20 Pb.upf
O 16.00 O.upf
ATOMIC_POSITIONS angstrom
Tl 0.000 0.000 0.000
Tl 2.677 2.677 0.000
Tl 2.677 0.000 2.677
Tl 0.000 2.677 2.677
Pb 5.354 2.677 2.677
Pb 2.677 5.354 2.677
Pb 2.677 2.677 5.354
Pb 5.354 5.354 5.354
O 1.338 1.338 1.338
O 4.015 4.015 1.637
O 4.015 1.637 4.015
O 6.393 4.015 4.015
O 6.692 6.692 4.314
O 6.692 4.314 6.692
O 9.070 6.692 6.692
O 1.637 4.015 4.015
O 4.015 6.393 4.015
O 4.015 4.015 6.393
O 4.314 6.692 6.692
O 6.692 9.070 6.692
O 6.692 6.692 9.070
O 9.369 9.369 9.369
CELL_PARAMETERS angstrom
0.000 5.354 5.354
5.354 0.000 5.354
5.354 5.354 0.000